No. 1
The following is a DFT calculation (SCAN) of a crystal of TaZnRh2 relaxed with PBEsol.

Summary:
Calculated total energy ... -149.8 eV per cell
Fermi-level density of states ... 1.459 states/eV/f.u.
Energy relative to the elements ... -528.8 meV/atom
Magnetization ... 0.000 μB per formula unit
Symmetry ... Imm2, No. 44
Volume ... 56.9 Å³ per cell

a = 3.661 Å, b = 3.704 Å, c = 4.937 Å
α = 112.03°, β = 111.76°, γ = 90.00°
Element x y z (fractional)
Ta 0.500 0.500 0.000
Zn 0.250 0.750 0.501
Rh 0.999 0.999 0.999
Rh 0.750 0.250 0.501

=====

No. 2
The following is a DFT calculation (SCAN) of a crystal of ZrTaRh2 relaxed with PBEsol.

Summary:
Calculated total energy ... -167.7 eV per cell
Fermi-level density of states ... 2.547 states/eV/f.u.
Energy relative to the elements ... -711.9 meV/atom
Magnetization ... 0.000 μB per formula unit
Symmetry ... Pm, No. 6
Volume ... 65.8 Å³ per cell

a = 2.969 Å, b = 4.480 Å, c = 5.047 Å
α = 90.00°, β = 101.33°, γ = 90.00°
Element x y z (fractional)
Rh 0.937 0.500 0.311
Rh 0.809 0.000 0.939
Zr 0.269 0.500 0.834
Ta 0.485 0.000 0.416

=====

No. 3
The following is a DFT calculation (SCAN) of a crystal of Zr2TaRh relaxed with PBEsol.

Summary:
ΔE to the lowest computed polymorph ... 195 meV per atom
Calculated total energy ... -162.7 eV per cell
Fermi-level density of states ... 3.806 states/eV/f.u.
Energy relative to the elements ... -231.2 meV/atom
Magnetization ... 0.000 μB per formula unit
Symmetry ... Pm, No. 6
Volume ... 72.5 Å³ per cell

a = 2.991 Å, b = 4.597 Å, c = 5.395 Å
α = 90.00°, β = 102.40°, γ = 90.00°
Element x y z (fractional)
Zr 0.999 0.000 0.991
Zr 0.735 0.500 0.261
Ta 0.277 0.500 0.746
Rh 0.490 0.000 0.503

=====

No. 4
The following is a DFT calculation (SCAN) of a crystal of Zr2TaRh relaxed with PBEsol.

Summary:
ΔE to the lowest computed polymorph ... 0 meV per atom
Calculated total energy ... -163.5 eV per cell
Fermi-level density of states ... 3.799 states/eV/f.u.
Energy relative to the elements ... -426.2 meV/atom
Magnetization ... 0.000 μB per formula unit
Symmetry ... P4/mmm, No. 123
Volume ... 73.3 Å³ per cell

a = 3.277 Å, b = 3.277 Å, c = 6.825 Å
α = 90.00°, β = 90.00°, γ = 90.00°
Element x y z (fractional)
Zr 0.000 0.000 0.764
Zr 0.000 0.000 0.236
Rh 0.500 0.500 0.000
Ta 0.500 0.500 0.500

=====

No. 5
The following is a DFT calculation (SCAN) of a crystal of Zr2TaRh relaxed with PBEsol.

Summary:
ΔE to the lowest computed polymorph ... 112 meV per atom
Calculated total energy ... -163.0 eV per cell
Fermi-level density of states ... 3.681 states/eV/f.u.
Energy relative to the elements ... -314.5 meV/atom
Magnetization ... 0.000 μB per formula unit
Symmetry ... P4mm, No. 99
Volume ... 74.0 Å³ per cell

a = 3.209 Å, b = 3.209 Å, c = 7.192 Å
α = 90.00°, β = 90.00°, γ = 90.00°
Element x y z (fractional)
Ta 0.500 0.500 0.721
Rh 0.000 0.000 0.516
Zr 0.500 0.500 0.276
Zr 0.000 0.000 0.988

=====

No. 6
The following is a DFT calculation (SCAN) of a crystal of ZrTaRh2 relaxed with PBEsol.

Summary:
Calculated total energy ... -167.4 eV per cell
Fermi-level density of states ... 3.744 states/eV/f.u.
Energy relative to the elements ... -631.6 meV/atom
Magnetization ... 0.000 μB per formula unit
Symmetry ... Pmmm, No. 47
Volume ... 64.8 Å³ per cell

a = 2.941 Å, b = 3.698 Å, c = 5.954 Å
α = 90.00°, β = 90.00°, γ = 90.00°
Element x y z (fractional)
Ta 0.500 0.500 0.000
Zr 0.500 0.500 0.500
Rh 0.000 0.000 0.761
Rh 0.000 0.000 0.239